Entry 1:
La14YIn, relaxed, DFT PBE; space-group type = Cmmm; calculated formation energy = -0.0613 eV/atom; VASP energy = -4.948 eV per atom
1.0
-3.7030 5.8288 2.4870
-6.0632 -4.1002 0.5451
2.5853 -2.5246 9.7664
La In Y
14 1 1
direct
0.3750 0.1250 0.0000
0.6198 0.3802 0.7552
0.8750 0.1250 0.5000
0.1302 0.8698 0.2449
0.6195 0.8695 0.2449
0.8750 0.6250 0.0000
0.1305 0.3805 0.7551
0.6195 0.8695 0.7551
0.8750 0.6250 0.5000
0.1305 0.3805 0.2449
0.3750 0.1250 0.5000
0.6198 0.3802 0.2448
0.1302 0.8698 0.7551
0.3750 0.6250 0.5000
0.3750 0.6250 0.0000
0.8750 0.1250 0.0000

=====

Entry 2:
LaYIn3, relaxed, DFT PBE; space-group type = Pm-3m; calculated formation energy = 0.2068 eV/atom; VASP energy = -3.715 eV per atom
1.0
-3.1802 -4.4053 1.4825
4.5512 -3.3161 -0.0911
0.9442 1.1466 5.4325
In Y La
3 1 1
direct
0.0000 0.5000 0.0000
0.5000 0.0000 0.0000
0.0000 0.0000 0.5000
0.0000 0.0000 0.0000
0.5000 0.5000 0.5000

=====

Entry 3:
LaYIn, relaxed, DFT PBE; space-group type = Imm2; calculated formation energy = -0.2938 eV/atom; VASP energy = -5.004 eV per atom
1.0
-3.4608 -4.4741 2.4292
2.2854 -5.4345 1.7716
0.4120 6.1141 0.5861
La In Y
1 1 1
direct
0.3437 0.3437 0.0000
0.0095 0.0095 0.0000
0.6468 0.6468 0.0000

=====

Entry 4:
La2YIn, relaxed, DFT PBE; space-group type = P4/mmm; calculated formation energy = -0.1944 eV/atom; VASP energy = -4.959 eV per atom
1.0
-3.6733 -0.5657 -0.3407
0.3515 -3.3048 1.6982
-1.4341 4.2050 8.4801
Y La In
1 2 1
direct
0.5000 0.5000 0.2500
0.0000 0.0000 0.5235
0.0000 0.0000 0.9765
0.5000 0.5000 0.7500